(1)
DFT (PBE) results for Dy2TmPbC after structural relaxation.

Cell: 4.8382 4.9206 4.9206 Å, 90.00 90.00 90.00°
Sites, in units of the cell vectors:
Dy 0.0000 0.0000 0.5000
Dy 0.0000 0.5000 0.0000
Tm 0.5000 0.0000 0.0000
Pb 0.5000 0.5000 0.5000
C 0.0000 0.0000 0.0000

**Mass density**: 10.109 Mg/m³
**Volume**: 117 Å³/cell
**Raw total energy**: -5.8705 eV per atom
**E_form**: -2.74 eV/f.u.


(2)
DFT (PBE) results for Rb3CuH after structural relaxation.

Cell: 5.7690 5.7690 5.7690 Å, 90.00 90.00 90.00°
Sites, in units of the cell vectors:
H 0.0000 0.0000 0.0000
Cu 0.5000 0.5000 0.5000
Rb 0.0000 0.5000 0.0000
Rb 0.0000 0.0000 0.5000
Rb 0.5000 0.0000 0.0000

**Mass density**: 2.776 Mg/m³
**Volume**: 192 Å³/cell
**Raw total energy**: -1.8658 eV per atom
**Energy above the lowest structure with this stoichiometry**: 0 meV per atom


(3)
DFT (PBE) results for EuMg3Ge3 after structural relaxation.

Cell: 15.7158 15.7158 4.5273 Å, 90.00 90.00 163.52°
Last column: magnetic moment on the atom in μB.
Sites, in units of the cell vectors:
Eu 0.0560 0.9440 0.7500  6.84
Eu 0.9440 0.0560 0.2500  6.84
Mg 0.8522 0.1478 0.7500  0.00
Mg 0.6469 0.3531 0.7500  0.00
Mg 0.1478 0.8522 0.2500  0.00
Mg 0.2503 0.7497 0.2500  0.00
Mg 0.3531 0.6469 0.2500  0.00
Mg 0.7497 0.2503 0.7500  0.00
Ge 0.4814 0.5186 0.7500  -0.01
Ge 0.4021 0.5979 0.7500  -0.02
Ge 0.1984 0.8016 0.7500  -0.01
Ge 0.5186 0.4814 0.2500  -0.01
Ge 0.8016 0.1984 0.2500  -0.01
Ge 0.5979 0.4021 0.2500  -0.02

**Mass density**: 4.637 Mg/m³
**Volume**: 317 Å³/cell
**Raw total energy**: -4.5152 eV per atom
**E_form**: -2.70 eV/f.u.


(4)
DFT (PBE) results for Ce2FeGe5 after structural relaxation.

Cell: 6.1742 6.1742 6.1742 Å, 87.88 121.23 121.23°
Last column: magnetic moment on the atom in μB.
Sites, in units of the cell vectors:
Ce 0.5000 0.2356 0.7356  0.40
Ce 0.5000 0.7356 0.2356  0.40
Fe 0.0000 0.0095 0.0095  1.08
Ge 0.4458 0.7152 0.7152  0.00
Ge 0.0000 0.7152 0.2694  0.00
Ge 0.0000 0.2694 0.7152  0.00
Ge 0.5542 0.2694 0.2694  0.00
Ge 0.0000 0.2722 0.2722  -0.02

**Mass density**: 7.115 Mg/m³
**Volume**: 163 Å³/cell
**Raw total energy**: -5.8307 eV per atom
**E_form**: -3.23 eV/f.u.